Here is a geometry-optimized NaLiTb2Se4 structure from the Alexandria database. Energies are from GGA-PBE.

Cell lengths 8.269, 8.269, 8.230 Å; angles 119.84, 119.84, 90.04 degrees
Atoms (fractional coordinates):
Li (0.000, 0.000, 0.000)
Se (0.257, 0.761, 0.509)
Se (0.739, 0.243, 0.991)
Se (0.254, 0.246, 0.503)
Li (0.500, 0.500, 0.500)
Se (0.746, 0.754, 0.497)
Se (0.746, 0.754, 0.003)
Se (0.743, 0.239, 0.491)
Tb (0.000, 0.000, 0.500)
Tb (0.500, 0.500, 0.000)
Se (0.254, 0.246, 0.997)
Na (0.000, 0.500, 0.000)
Na (0.000, 0.500, 0.500)
Tb (0.500, 0.000, 0.500)
Se (0.261, 0.757, 0.009)
Tb (0.500, 0.000, 0.000)

Results
The formation energy (no corrections) is -1.69 eV/atom. Its size of the total moment is 0.0 μB per cell.

---

Here is a geometry-optimized ThCrTe2N structure from the Alexandria database. Energies are from GGA-PBE.

Cell lengths 4.067, 4.067, 14.661 Å; angles 90.00, 90.00, 90.00 degrees
Site moments in Bohr magnetons follow the coordinates.
Atoms (fractional coordinates):
N (0.500, 0.500, 0.500)  -0.02
Th (0.000, 0.500, 0.420)  -0.01
Te (0.000, 0.500, 0.085)  -0.19
Cr (0.500, 0.000, 0.103)  3.35
N (0.000, 0.000, 0.500)  -0.02
Th (0.500, 0.000, 0.580)  -0.01
Te (0.000, 0.500, 0.716)  -0.12
Te (0.500, 0.000, 0.284)  -0.12
Te (0.500, 0.000, 0.915)  -0.19
Cr (0.000, 0.500, 0.897)  3.35

Results
The formation energy (no corrections) is -0.93 eV/atom. Its size of the total moment is 6.4 μB per cell.

---

Here is a geometry-optimized Na2VTc structure from the Alexandria database. Energies are from GGA-PBE.

Cell lengths 4.847, 4.847, 4.847 Å; angles 60.00, 60.00, 60.00 degrees
Site moments in Bohr magnetons follow the coordinates.
Atoms (fractional coordinates):
Tc (0.500, 0.500, 0.500)  1.57
V (0.000, 0.000, 0.000)  2.55
Na (0.750, 0.750, 0.750)  0.01
Na (0.250, 0.250, 0.250)  0.01

Results
Its size of the total moment is 4.9 μB per cell. As for the formation energy: 1.616 eV/atom.

---

Here is a geometry-optimized SrLiTa structure from the Alexandria database. Energies are from GGA-PBE.

Cell lengths 7.553, 7.554, 3.162 Å; angles 77.91, 77.92, 24.17 degrees
Atoms (fractional coordinates):
Sr (0.326, 0.326, 0.674)
Li (0.021, 0.021, 0.979)
Ta (0.653, 0.653, 0.347)

Results
Its size of the total moment is 0.0 μB per cell. As for the formation energy: 0.808 eV/atom.

---

DOS(E_F) per entry: 0.00; 2.44; 8.98; 3.21 states/eV/f.u.